# AgHgPt4

An optimized crystal structure of AgHgPt4 (GGA-PBE, Alexandria).

Symmetry: F-43m
Energy of formation from the pure elements in meV/atom: 68
Total magnetization in μB per atom: 0.000

a b c (Å): 5.3397 5.3397 5.3397
angles (deg): 60.00 60.00 60.00
Fractional positions:
Ag 0.0000 0.0000 0.0000
Hg 0.2500 0.2500 0.2500
Pt 0.1246 0.6251 0.6251
Pt 0.6251 0.1246 0.6251
Pt 0.6251 0.6251 0.1246
Pt 0.6251 0.6251 0.6251

---

# V2GaNi6

An optimized crystal structure of V2GaNi6 (GGA-PBE, Alexandria).

Symmetry: Immm
Energy of formation from the pure elements in meV/atom: 71
E above lowest polymorph in meV per atom: 211.3
Total magnetization in μB per atom: 0.000

a b c (Å): 6.9049 6.9049 6.9049
angles (deg): 148.30 138.05 53.52
Fractional positions:
V 0.1170 0.1170 0.0000
V 0.8830 0.8830 0.0000
Ga 0.5000 0.0000 0.5000
Ni 0.0724 0.3074 0.7649
Ni 0.2323 0.5000 0.7323
Ni 0.4575 0.6926 0.7649
Ni 0.5425 0.3074 0.2351
Ni 0.7677 0.5000 0.2677
Ni 0.9276 0.6926 0.2351

---

# BeSi3I

An optimized crystal structure of BeSi3I (GGA-PBE, Alexandria).

Symmetry: Pm-3m
E_form (uncorrected) in meV/atom: 847
E above lowest polymorph in meV per atom: 0.0
Total magnetization in μB per atom: 0.000

a b c (Å): 4.5567 4.5567 4.5567
angles (deg): 90.00 90.00 90.00
Fractional positions:
Be 0.0000 0.0000 0.0000
Si 0.0000 0.0000 0.5000
Si 0.0000 0.5000 0.0000
Si 0.5000 0.0000 0.0000
I 0.5000 0.5000 0.5000

---

# KAu2Cl

An optimized crystal structure of KAu2Cl (GGA-PBE, Alexandria).

Symmetry: P4mm
E_form (uncorrected) in meV/atom: -575
E above lowest polymorph in meV per atom: 2.6
Total magnetization in μB per atom: 0.000

a b c (Å): 3.8703 3.8703 7.6167
angles (deg): 90.00 90.00 90.00
Fractional positions:
K 0.0000 0.0000 0.0000
Au 0.0000 0.0000 0.4396
Au 0.5000 0.5000 0.4723
Cl 0.5000 0.5000 0.8479

---

# Hf4Zn2Mo

An optimized crystal structure of Hf4Zn2Mo (GGA-PBE, Alexandria).

Symmetry: Cmmm
Energy of formation from the pure elements in meV/atom: 22
Total magnetization in μB per atom: 0.000

a b c (Å): 5.6926 5.6926 4.5300
angles (deg): 90.00 90.00 107.81
Fractional positions:
Hf 0.0000 0.5000 0.5000
Hf 0.2436 0.2436 0.0000
Hf 0.5000 0.0000 0.5000
Hf 0.7564 0.7564 0.0000
Zn 0.2576 0.7424 0.0000
Zn 0.7424 0.2576 0.0000
Mo 0.5000 0.5000 0.5000

---

# CdInHg2Te4

An optimized crystal structure of CdInHg2Te4 (GGA-PBE, Alexandria).

Symmetry: Fmm2
E_form (uncorrected) in meV/atom: -227
Total magnetization in μB per atom: 0.000

a b c (Å): 8.2592 8.2573 6.7179
angles (deg): 66.02 65.98 48.00
Fractional positions:
Cd 0.0000 0.0000 0.0000
In 0.4994 0.4994 0.5006
Hg 0.2497 0.2497 0.2503
Hg 0.7497 0.7497 0.7503
Te 0.1221 0.6279 0.3721
Te 0.3721 0.8770 0.6279
Te 0.6279 0.1221 0.8779
Te 0.8770 0.3721 0.1230

---

# NaPdRh2N

An optimized crystal structure of NaPdRh2N (GGA-PBE, Alexandria).

Symmetry: P4/mmm
E_form (uncorrected) in meV/atom: 132
E above lowest polymorph in meV per atom: 0.0
Total magnetization in μB per atom: 0.000

a b c (Å): 4.0292 4.0292 4.4068
angles (deg): 90.00 90.00 90.00
Fractional positions:
Na 0.0000 0.0000 0.0000
Pd 0.5000 0.5000 0.0000
Rh 0.0000 0.5000 0.5000
Rh 0.5000 0.0000 0.5000
N 0.5000 0.5000 0.5000

---

# Nd2ErGa

An optimized crystal structure of Nd2ErGa (GGA-PBE, Alexandria).

Symmetry: R-3m
Energy of formation from the pure elements in meV/atom: 36
E above lowest polymorph in meV per atom: 293.1
Total magnetization in μB per atom: 0.115

a b c (Å): 11.7071 11.7071 11.7071
angles (deg): 17.46 17.46 17.46
Fractional positions:
Nd 0.1008 0.1008 0.1008
Nd 0.8992 0.8992 0.8992
Er 0.0000 0.0000 0.0000
Ga 0.5000 0.5000 0.5000